1.
LiTl2 | GGA-PBE | relaxed Values from VASP.

Energy of formation, meV per atom: -118
Total magnetization, μB/cell: 0.000

```
&SYSTEM
  ibrav = 0, nat = 12, ntyp = 2
/
ATOMIC_SPECIES
Li 6.94 Li.upf
Tl 204.38 Tl.upf
CELL_PARAMETERS angstrom
7.051 0.000 0.000
0.000 7.051 0.000
0.000 0.000 5.888
ATOMIC_POSITIONS crystal
Li 0.000 0.000 0.250
Li 0.000 0.000 0.750
Li 0.500 0.500 0.250
Li 0.500 0.500 0.750
Tl 0.166 0.334 0.000
Tl 0.166 0.666 0.500
Tl 0.334 0.166 0.500
Tl 0.334 0.834 0.000
Tl 0.666 0.166 0.000
Tl 0.666 0.834 0.500
Tl 0.834 0.334 0.500
Tl 0.834 0.666 0.000
```

***

2.
MnMoAu2 | GGA-PBE | relaxed Values from VASP.

Energy of formation, meV per atom: 290
Total magnetization, μB/cell: 5.231

```
&SYSTEM
  ibrav = 0, nat = 8, ntyp = 3
/
ATOMIC_SPECIES
Mn 54.94 Mn.upf
Mo 95.94 Mo.upf
Au 196.97 Au.upf
CELL_PARAMETERS angstrom
9.519 0.000 0.000
0.000 2.836 0.000
-0.804 0.000 4.862
ATOMIC_POSITIONS crystal
Mn 0.000 0.000 0.000
Mn 0.500 0.500 0.000
Mo 0.000 0.500 0.500
Mo 0.500 0.000 0.500
Au 0.250 0.000 0.750
Au 0.250 0.500 0.250
Au 0.750 0.000 0.250
Au 0.750 0.500 0.750
```

***

3.
SnP3O9 | GGA-PBE | relaxed Values from VASP.

Energy relative to the elements, uncorrected, meV/atom: -1914
Total magnetization, μB/cell: 0.000

```
&SYSTEM
  ibrav = 0, nat = 26, ntyp = 3
/
ATOMIC_SPECIES
Sn 118.71 Sn.upf
P 30.97 P.upf
O 16.00 O.upf
CELL_PARAMETERS angstrom
6.700 0.000 0.000
1.226 6.996 0.000
1.205 0.715 7.760
ATOMIC_POSITIONS crystal
Sn 0.011 0.210 0.154
Sn 0.989 0.790 0.846
P 0.168 0.152 0.559
P 0.187 0.691 0.212
P 0.346 0.366 0.785
P 0.654 0.634 0.215
P 0.813 0.309 0.788
P 0.832 0.848 0.441
O 0.066 0.744 0.398
O 0.135 0.510 0.166
O 0.143 0.866 0.080
O 0.203 0.964 0.669
O 0.207 0.142 0.366
O 0.279 0.580 0.787
O 0.280 0.228 0.933
O 0.297 0.305 0.605
O 0.410 0.671 0.259
O 0.590 0.329 0.741
O 0.703 0.695 0.395
O 0.720 0.772 0.067
O 0.721 0.420 0.213
O 0.793 0.858 0.634
O 0.797 0.036 0.331
O 0.857 0.134 0.920
O 0.865 0.490 0.834
O 0.934 0.256 0.602
```

***

4.
KTmPu2O8 | GGA-PBE | relaxed Values from VASP.

Energy relative to the elements, uncorrected, meV/atom: -2489
Total magnetization, μB/cell: 4.000

```
&SYSTEM
  ibrav = 0, nat = 12, ntyp = 4
/
ATOMIC_SPECIES
K 39.10 K.upf
Tm 168.93 Tm.upf
Pu 244.00 Pu.upf
O 16.00 O.upf
CELL_PARAMETERS angstrom
-2.713 2.713 5.216
2.713 -2.713 5.216
2.713 2.713 -5.216
ATOMIC_POSITIONS crystal
K 0.000 0.000 0.000
Tm 0.250 0.750 0.500
Pu 0.500 0.500 0.000
Pu 0.750 0.250 0.500
O 0.134 0.149 0.544
O 0.134 0.590 0.985
O 0.410 0.395 0.544
O 0.410 0.866 0.015
O 0.605 0.149 0.015
O 0.605 0.590 0.456
O 0.851 0.395 0.985
O 0.851 0.866 0.456
```

***

5.
Ac2IrPb | GGA-PBE | relaxed Values from VASP.

Energy of formation, meV per atom: -531
Total magnetization, μB/cell: 0.000

```
&SYSTEM
  ibrav = 0, nat = 12, ntyp = 3
/
ATOMIC_SPECIES
Ac 227.00 Ac.upf
Ir 192.22 Ir.upf
Pb 207.20 Pb.upf
CELL_PARAMETERS angstrom
4.291 0.000 0.000
-2.145 3.716 0.000
0.000 0.000 26.266
ATOMIC_POSITIONS crystal
Ac 0.000 0.000 0.231
Ac 0.000 0.000 0.769
Ac 0.333 0.667 0.436
Ac 0.333 0.667 0.897
Ac 0.667 0.333 0.103
Ac 0.667 0.333 0.564
Ir 0.000 0.000 0.500
Ir 0.333 0.667 0.167
Ir 0.667 0.333 0.833
Pb 0.000 0.000 0.000
Pb 0.333 0.667 0.667
Pb 0.667 0.333 0.333
```

***

6.
LaNd3YHo | GGA-PBE | relaxed Values from VASP.

Energy of formation, meV per atom: 24
Total magnetization, μB/cell: 0.000

```
&SYSTEM
  ibrav = 0, nat = 12, ntyp = 4
/
ATOMIC_SPECIES
La 138.91 La.upf
Nd 144.24 Nd.upf
Y 88.91 Y.upf
Ho 164.93 Ho.upf
CELL_PARAMETERS angstrom
8.132 0.000 0.000
0.000 5.183 0.000
-3.301 0.000 9.803
ATOMIC_POSITIONS crystal
La 0.170 0.250 0.293
La 0.830 0.750 0.707
Nd 0.169 0.250 0.791
Nd 0.169 0.750 0.042
Nd 0.171 0.750 0.543
Nd 0.829 0.250 0.457
Nd 0.831 0.250 0.958
Nd 0.831 0.750 0.209
Y 0.498 0.750 0.875
Y 0.502 0.250 0.125
Ho 0.500 0.250 0.625
Ho 0.500 0.750 0.375
```

***

7.
SrAlTc2 | GGA-PBE | relaxed Values from VASP.

Energy of formation, meV per atom: 548
Total magnetization, μB/cell: 0.921

```
&SYSTEM
  ibrav = 0, nat = 4, ntyp = 3
/
ATOMIC_SPECIES
Sr 87.62 Sr.upf
Al 26.98 Al.upf
Tc 98.00 Tc.upf
CELL_PARAMETERS angstrom
2.849 0.000 0.000
0.000 2.849 0.000
0.000 0.000 8.966
ATOMIC_POSITIONS crystal
Sr 0.000 0.000 0.000
Al 0.000 0.000 0.500
Tc 0.500 0.500 0.299
Tc 0.500 0.500 0.701
```

***

8.
SrPrInHg | GGA-PBE | relaxed Values from VASP.

Energy of formation, meV per atom: -465
Total magnetization, μB/cell: 0.000

```
&SYSTEM
  ibrav = 0, nat = 16, ntyp = 4
/
ATOMIC_SPECIES
Sr 87.62 Sr.upf
Pr 140.91 Pr.upf
In 114.82 In.upf
Hg 200.59 Hg.upf
CELL_PARAMETERS angstrom
7.927 0.000 0.000
0.000 7.927 0.000
0.000 0.000 7.927
ATOMIC_POSITIONS crystal
Sr 0.000 0.000 0.000
Sr 0.000 0.500 0.500
Sr 0.500 0.000 0.500
Sr 0.500 0.500 0.000
Pr 0.000 0.000 0.500
Pr 0.000 0.500 0.000
Pr 0.500 0.000 0.000
Pr 0.500 0.500 0.500
In 0.250 0.250 0.250
In 0.250 0.750 0.750
In 0.750 0.250 0.750
In 0.750 0.750 0.250
Hg 0.250 0.250 0.750
Hg 0.250 0.750 0.250
Hg 0.750 0.250 0.250
Hg 0.750 0.750 0.750
```